1.
The following is a PBE calculation of a relaxed structure of K2TeMo, from Alexandria.

- final energy (eV/atom) = -3.67
- uncorrected formation energy (eV/atom) = 0.37
- D(E_F) (states/eV per atom) = 0.231
- crystal system = monoclinic

```
K2TeMo
1.0
-0.706 1.299 -5.007
5.388 -1.316 -1.101
1.094 -6.139 -1.746
K Te Mo
2 1 1
Cartesian
6.264 -6.978 -2.693
1.490 -1.678 -3.367
3.592 -4.387 -4.366
4.155 -4.295 -1.699
```

***

2.
The following is a PBE calculation of a relaxed structure of Tl5Cl6, from Alexandria.

- final energy (eV/atom) = -2.99
- uncorrected formation energy (eV/atom) = -0.91
- D(E_F) (states/eV per atom) = 0.557
- crystal system = monoclinic

```
Tl5Cl6
1.0
-4.585 0.970 6.236
-4.692 -5.715 2.319
3.821 -2.285 6.260
Cl Tl
6 5
Cartesian
-0.326 -0.277 3.131
-6.237 -3.428 8.828
-0.438 -1.038 9.366
-3.223 -2.048 5.950
-2.233 -4.983 8.865
0.782 -3.602 5.987
-0.382 -0.657 6.248
-6.170 -3.125 5.708
-3.418 -2.094 9.119
-3.107 -1.619 2.847
-2.038 -4.936 5.697
```

***

3.
The following is a PBE calculation of a relaxed structure of Ni3TePd, from Alexandria.

- final energy (eV/atom) = -4.27
- uncorrected formation energy (eV/atom) = 0.86
- D(E_F) (states/eV per atom) = 1.577
- crystal system = cubic

```
Ni3TePd
1.0
4.591 0.000 0.000
0.000 4.591 0.000
0.000 0.000 4.591
Te Ni Pd
1 3 1
Cartesian
0.000 0.000 0.000
2.295 0.000 0.000
0.000 2.295 0.000
0.000 0.000 2.295
2.295 2.295 2.295
```

***

4.
The following is a PBE calculation of a relaxed structure of TbCeSc2P4, from Alexandria.

- final energy (eV/atom) = -7.12
- D(E_F) (states/eV per atom) = 0.606
- crystal system = monoclinic
- formation enthalpy at 0 K (eV per atom) = -1.51

```
TbCeSc2P4
1.0
-2.978 0.120 2.542
3.675 -3.443 4.469
3.489 4.330 3.884
P Tb Ce Sc
4 1 1 2
Cartesian
2.179 -1.521 5.643
5.416 0.575 6.319
2.008 2.527 5.252
-1.230 0.431 4.576
3.582 0.443 4.176
0.348 -1.662 3.505
0.256 2.225 3.213
3.489 4.330 3.884
```

***

5.
The following is a PBE calculation of a relaxed structure of MgCoSi4, from Alexandria.

- final energy (eV/atom) = -4.67
- uncorrected formation energy (eV/atom) = 0.40
- D(E_F) (states/eV per atom) = 0.900
- crystal system = cubic

```
MgCoSi4
1.0
3.779 -2.986 1.342
1.214 -0.481 4.827
-0.931 -4.288 2.397
Mg Si Co
1 4 1
Cartesian
0.000 0.000 0.000
3.405 -4.398 3.885
1.526 -2.913 3.218
1.063 -5.046 4.410
2.129 -3.152 5.618
3.046 -5.816 6.424
```

***

6.
The following is a PBE calculation of a relaxed structure of TaHg2Pb, from Alexandria.

- final energy (eV/atom) = -3.67
- D(E_F) (states/eV per atom) = 0.417
- crystal system = trigonal
- formation enthalpy at 0 K (eV per atom) = 0.37

```
TaHg2Pb
1.0
-8.584 -2.456 5.748
-8.607 -4.969 3.741
-6.801 -5.052 6.402
Pb Ta Hg
1 1 2
Cartesian
-11.834 -6.154 7.838
-17.884 -9.301 11.845
-6.130 -3.188 4.060
-0.139 -0.072 0.092
```

***

7.
The following is a PBE calculation of a relaxed structure of LaPmBi2, from Alexandria.

- final energy (eV/atom) = -5.11
- D(E_F) (states/eV per atom) = 1.028
- crystal system = tetragonal
- formation enthalpy at 0 K (eV per atom) = -0.75

```
LaPmBi2
1.0
-3.907 0.685 0.927
0.716 -2.597 4.934
1.421 4.895 2.370
La Bi Pm
1 2 1
Cartesian
-1.954 0.343 0.464
0.711 2.448 1.185
0.358 -1.298 2.467
-0.885 1.492 4.116
```

***

8.
The following is a PBE calculation of a relaxed structure of TcPt2Rh3, from Alexandria.

- final energy (eV/atom) = -7.52
- D(E_F) (states/eV per atom) = 1.122
- crystal system = monoclinic
- formation enthalpy at 0 K (eV per atom) = -0.11

```
TcPt2Rh3
1.0
3.868 0.000 0.000
0.000 5.469 0.588
0.000 -0.840 8.220
Rh Pt Tc
6 4 2
Cartesian
2.901 3.234 2.402
0.967 1.968 0.948
0.967 1.395 6.406
2.901 2.660 7.860
2.901 0.159 4.858
0.967 4.470 3.950
2.901 2.924 5.214
0.967 4.721 1.213
2.901 -0.092 7.595
0.967 1.704 3.594
0.967 4.150 6.649
2.901 0.479 2.159
```